K2TlGeS4: optimized geometry, GGA-PBE.

POSCAR file:
```
K2TlGeS4
1.0
-3.8140 3.8140 4.1907
3.8140 -3.8140 4.1907
3.8140 3.8140 -4.1907
K Tl Ge S
2 1 1 4
direct
0.0000 0.0000 0.0000
0.7500 0.2500 0.5000
0.2500 0.7500 0.5000
0.5000 0.5000 0.0000
0.1959 0.1677 0.6505
0.4546 0.8041 0.9719
0.5173 0.5454 0.3495
0.8323 0.4827 0.0281
```

Calculated values
The total energy comes out at -3.897 eV per atom. As for the volume: 30.48 Å³/atom. The calculation puts the density of states at the Fermi level at 4.889 states/eV/cell.